No. 1
LiY2Co (PBEsol, relaxed); VASP energy = -23.0 eV/cell; formation energy = 0.08 eV/atom; magnetic moment = 0.0 μB/cell
1.0
-1.628 2.332 5.602
1.628 -2.332 5.602
1.628 2.332 -5.602
Li Y Co
1 2 1
Direct
0.000 0.000 0.000
0.325 0.825 0.500
0.622 0.622 0.000
0.814 0.314 0.500

No. 2
LiY2Co (PBEsol, relaxed); VASP energy = -23.5 eV/cell; formation energy = -0.05 eV/atom; magnetic moment = 0.6 μB/cell
1.0
3.330 0.000 0.000
0.000 3.330 0.000
0.000 0.000 7.918
Li Y Co
1 2 1
Direct
0.000 0.000 0.000
0.500 0.500 0.299
0.500 0.500 0.701
0.000 0.000 0.500